The following is a PBE calculation of a relaxed TbSmSiPd crystal, from Alexandria via LeMat-Bulk.

## Properties
Electronic total energy, eV per formula unit: -23.19
M_tot, μB/f.u.: 0.0
D(E_F), states/eV per atom: 0.60
Offset from the most stable computed form, meV per atom: 0
Calculated volume, Å³/atom: 23.376

abc: 4.242 4.043 10.901
angles: 90.00 90.00 90.00
Space group Amm2 (No. 38)
Unique sites:
Tb 0.000 0.000 0.000 [2 per cell]
Sm 0.500 0.000 0.279 [2 per cell]
Si 0.000 0.000 0.714 [2 per cell]
Pd 0.500 0.000 0.564 [2 per cell]

The following is a PBE calculation of a relaxed Zr2UN4 crystal, from Alexandria via LeMat-Bulk.

## Properties
Electronic total energy, eV per formula unit: -71.12
M_tot, μB/f.u.: 1.8
D(E_F), states/eV per atom: 0.88
Offset from the most stable computed form, meV per atom: 139
Calculated volume, Å³/atom: 14.511

abc: 9.332 9.332 9.332
angles: 90.00 90.00 90.00
Space group Fd-3m (No. 227, origin choice 2)
Unique sites:
Zr 0.000 0.000 0.000 [16 per cell]
U 0.125 0.125 0.625 [8 per cell]
N 0.010 0.010 0.240 [32 per cell]

Question: Which value of D(E_F) does entry 1 give?
Answer: 0.60 states/eV per atom

What did the first record say?
The following is a PBE calculation of a relaxed TbSmSiPd crystal, from Alexandria via LeMat-Bulk.

## Properties
Electronic total energy, eV per formula unit: -23.19
M_tot, μB/f.u.: 0.0
D(E_F), states/eV per atom: 0.60
Offset from the most stable computed form, meV per atom: 0
Calculated volume, Å³/atom: 23.376

abc: 4.242 4.043 10.901
angles: 90.00 90.00 90.00
Space group Amm2 (No. 38)
Unique sites:
Tb 0.000 0.000 0.000 [2 per cell]
Sm 0.500 0.000 0.279 [2 per cell]
Si 0.000 0.000 0.714 [2 per cell]
Pd 0.500 0.000 0.564 [2 per cell]